# Pm4Tl2Cd | the Alexandria database | GGA-PBE | optimized geometry
# * E_form: 21.6 meV/atom
# * crystal system: tetragonal
# * E: -3.50 eV per atom
# * excess energy over the best structure of this formula in the dataset: 0.259 eV per atom
data_Pm4Tl2Cd
_cell_length_a 5.900
_cell_length_b 5.900
_cell_length_c 13.242
_cell_angle_alpha 90.00
_cell_angle_beta 90.00
_cell_angle_gamma 90.00
_space_group_name_H-M_alt 'I 4/m m m'
_space_group_IT_number 139
_space_group_name_Hall '-I 4 2'
loop_
_atom_site_label
_atom_site_fract_x
_atom_site_fract_y
_atom_site_fract_z
Pm1 0.000 0.500 0.000
Pm2 0.000 0.500 0.250
Tl1 0.000 0.000 0.128
Cd1 0.000 0.000 0.500